Record 1
# PBE-GGA KBeSi2, relaxed
# total magnetic moment	0.00	μB per formula unit
# formation energy without anion corrections	0.364	eV/atom
data_KBeSi2
_chemical_formula_sum 'K4 Be4 Si8'
_symmetry_space_group_name_H-M 'I 41/a m d'
_symmetry_Int_Tables_number 141
_cell_length_a 4.956
_cell_length_b 4.956
_cell_length_c 15.260
_cell_angle_alpha 90.00
_cell_angle_beta 90.00
_cell_angle_gamma 90.00
loop_
_symmetry_equiv_pos_as_xyz
'x,y,z'
'-x,-y,-z'
'-y+1/4,x+3/4,z+1/4'
'y+1/4,-x+3/4,-z+1/4'
'-x+1/2,-y,z+1/2'
'x+1/2,y,-z+1/2'
'y+1/4,-x+1/4,z+3/4'
'-y+1/4,x+1/4,-z+3/4'
'x,-y,-z'
'-x,y,z'
'-y+1/4,-x+1/4,-z+3/4'
'y+1/4,x+1/4,z+3/4'
'-x+1/2,y,-z+1/2'
'x+1/2,-y,z+1/2'
'y+1/4,x+3/4,-z+1/4'
'-y+1/4,-x+3/4,z+1/4'
'x+1/2,y+1/2,z+1/2'
'-x+1/2,-y+1/2,-z+1/2'
'-y+3/4,x+1/4,z+3/4'
'y+3/4,-x+1/4,-z+3/4'
'-x,-y+1/2,z'
'x,y+1/2,-z'
'y+3/4,-x+3/4,z+1/4'
'-y+3/4,x+3/4,-z+1/4'
'x+1/2,-y+1/2,-z+1/2'
'-x+1/2,y+1/2,z+1/2'
'-y+3/4,-x+3/4,-z+1/4'
'y+3/4,x+3/4,z+1/4'
'-x,y+1/2,-z'
'x,-y+1/2,z'
'y+3/4,x+1/4,-z+3/4'
'-y+3/4,-x+1/4,z+3/4'
loop_
_atom_site_label
_atom_site_type_symbol
_atom_site_fract_x
_atom_site_fract_y
_atom_site_fract_z
K1 K 0.000 0.250 0.375
Be1 Be 0.000 0.250 0.875
Si1 Si 0.000 0.000 0.000

Record 2
# PBE-GGA Pm2PrAu4, relaxed
# total magnetic moment	0.00	μB per formula unit
# raw total energy	-57.74	eV for the cell shown
data_Pm2PrAu4
_chemical_formula_sum 'Pm4 Pr2 Au8'
_symmetry_space_group_name_H-M 'I 4/m m m'
_symmetry_Int_Tables_number 139
_symmetry_space_group_name_Hall '-I 4 2'
_cell_length_a 5.483
_cell_length_b 5.483
_cell_length_c 15.108
_cell_angle_alpha 90.00
_cell_angle_beta 90.00
_cell_angle_gamma 90.00
loop_
_atom_site_label
_atom_site_type_symbol
_atom_site_fract_x
_atom_site_fract_y
_atom_site_fract_z
Pm1 Pm 0.000 0.000 0.117
Pr1 Pr 0.000 0.000 0.500
Au1 Au 0.000 0.000 0.308
Au2 Au 0.000 0.500 0.000

Record 3
# PBE-GGA Cd3WS, relaxed
# total magnetic moment	3.91	μB per formula unit
# formation energy without anion corrections	1.325	eV/atom
data_Cd3WS
_chemical_formula_sum 'Cd3 W1 S1'
_symmetry_space_group_name_H-M 'P m -3 m'
_symmetry_Int_Tables_number 221
_symmetry_space_group_name_Hall '-P 4 2 3'
_cell_length_a 5.026
_cell_length_b 5.026
_cell_length_c 5.026
_cell_angle_alpha 90.00
_cell_angle_beta 90.00
_cell_angle_gamma 90.00
loop_
_atom_site_label
_atom_site_type_symbol
_atom_site_fract_x
_atom_site_fract_y
_atom_site_fract_z
Cd1 Cd 0.000 0.000 0.500
W1 W 0.500 0.500 0.500
S1 S 0.000 0.000 0.000